Entry 1:
Density functional theory data (GGA-PBE) for a relaxed structure of UIn3Br6.

Computed properties:
Calculated total energy: -0.284 Ry/atom
Total moment: 6.000 μB/cell
Energy above the most stable polymorph in this dataset: 0 meV per atom

Lattice parameters (Å, degrees): 7.7724 8.6927 13.3434 90.00 121.62 90.00
With the nearest neighbours (Å) after each atom.
Atoms (fractional coordinates):
U 0.0000 0.0000 0.0000  6 Br 2.91
U 0.0000 0.5000 0.5000  6 Br 2.91
In 0.3019 0.0830 0.7767  6 Br 3.23-3.55
In 0.3019 0.4170 0.2767  6 Br 3.23-3.55
In 0.5000 0.0000 0.5000  6 Br 3.27-3.36
In 0.5000 0.5000 0.0000  6 Br 3.27-3.36
In 0.6981 0.5830 0.7233  6 Br 3.23-3.55
In 0.6981 0.9170 0.2233  6 Br 3.23-3.55
Br 0.0907 0.0661 0.2370  1 U 2.91, 1 In 3.23
Br 0.0907 0.4339 0.7370  1 U 2.91, 1 In 3.23
Br 0.2436 0.7217 0.0838  1 U 2.91
Br 0.2436 0.7783 0.5838  1 U 2.91
Br 0.3593 0.1652 0.0440  1 U 2.91
Br 0.3593 0.3348 0.5440  1 U 2.91
Br 0.6407 0.6652 0.4560  1 U 2.91
Br 0.6407 0.8348 0.9560  1 U 2.91
Br 0.7564 0.2217 0.4162  1 U 2.91
Br 0.7564 0.2783 0.9162  1 U 2.91
Br 0.9093 0.5661 0.2630  1 U 2.91, 1 In 3.23
Br 0.9093 0.9339 0.7630  1 U 2.91, 1 In 3.23


Entry 2:
Density functional theory data (GGA-PBE) for a relaxed structure of CsCrCdSe3.

Computed properties:
Calculated total energy: -0.320 Ry/atom
Total moment: 5.996 μB/cell

Lattice parameters (Å, degrees): 8.9535 4.0377 10.6549 90.00 114.02 90.00
With the nearest neighbours (Å) after each atom.
Atoms (fractional coordinates):
Cs 0.2403 0.2500 0.2544  7 Se 3.61-3.91, 2 Cs 4.04
Cs 0.7597 0.7500 0.7456  7 Se 3.61-3.91, 2 Cs 4.04
Cr 0.3355 0.7500 0.8707  5 Se 2.48-2.67
Cr 0.6645 0.2500 0.1293  5 Se 2.48-2.67
Cd 0.0810 0.2500 0.6193  4 Se 2.58-2.81
Cd 0.9190 0.7500 0.3807  4 Se 2.58-2.81
Se 0.1437 0.2500 0.8786  1 Cd 2.58, 2 Cr 2.67
Se 0.2473 0.7500 0.5712  3 Cd 2.68-2.81, 1 Cr 2.96
Se 0.4810 0.7500 0.1251  3 Cr 2.48-2.59
Se 0.5190 0.2500 0.8749  3 Cr 2.48-2.59
Se 0.7527 0.2500 0.4288  3 Cd 2.68-2.81, 1 Cr 2.96
Se 0.8563 0.7500 0.1214  1 Cd 2.58, 2 Cr 2.67


Entry 3:
Density functional theory data (GGA-PBE) for a relaxed structure of AsPtW.

Computed properties:
Calculated total energy: -0.576 Ry/atom
Total moment: 0.000 μB/cell
Energy of formation: 0.0480 eV/atom
Energy above the most stable polymorph in this dataset: 0 meV per atom

Lattice parameters (Å, degrees): 12.8320 2.9899 2.9899 59.65 90.00 90.00
With the nearest neighbours (Å) after each atom.
Atoms (fractional coordinates):
As 0.1539 0.0000 0.0000  3 W 2.61-2.63, 2 Pt 2.89
As 0.8461 0.0000 0.0000  3 W 2.61-2.63, 2 Pt 2.89
Pt 0.3394 0.6333 0.6333  3 W 2.69, 2 As 2.89, 6 Pt 2.97-2.99
Pt 0.6606 0.6333 0.6333  3 W 2.69, 2 As 2.89, 6 Pt 2.97-2.99
W 0.0000 0.3292 0.3292  6 As 2.61-2.63
W 0.5000 0.3002 0.3002  6 Pt 2.69, 6 W 2.97-2.99


Entry 4:
Density functional theory data (GGA-PBE) for a relaxed structure of TbB4W2.

Computed properties:
Calculated total energy: -0.624 Ry/atom
Total moment: 0.000 μB/cell
Energy of formation: -0.3071 eV/atom

Lattice parameters (Å, degrees): 6.9811 6.9811 5.8535 101.96 101.96 37.70
With the nearest neighbours (Å) after each atom.
Atoms (fractional coordinates):
Tb 0.2314 0.7686 0.7500  8 B 2.65-2.82
Tb 0.7686 0.2314 0.2500  8 B 2.65-2.82
B 0.1724 0.5885 0.1874  2 B 1.77-1.78
B 0.3505 0.3545 0.4240  2 B 1.77-1.78
B 0.3545 0.3505 0.9240  2 B 1.77-1.78
B 0.4115 0.8276 0.3126  2 B 1.77-1.78
B 0.5885 0.1724 0.6874  2 B 1.77-1.78
B 0.6455 0.6495 0.0760  2 B 1.77-1.78
B 0.6495 0.6455 0.5760  2 B 1.77-1.78
B 0.8276 0.4115 0.8126  2 B 1.77-1.78
W 0.2095 0.2232 0.6061  7 B 2.28-2.46
W 0.2232 0.2095 0.1061  7 B 2.28-2.46
W 0.7768 0.7905 0.8939  7 B 2.28-2.46
W 0.7905 0.7768 0.3939  7 B 2.28-2.46


Entry 5:
Density functional theory data (GGA-PBE) for a relaxed structure of AcLaTb2Pm4.

Computed properties:
Calculated total energy: -0.341 Ry/atom
Total moment: 0.000 μB/cell
Energy of formation: 0.0296 eV/atom

Lattice parameters (Å, degrees): 7.3766 7.3816 10.4256 90.00 90.07 90.00
With the nearest neighbours (Å) after each atom.
Atoms (fractional coordinates):
Ac 0.0000 0.0000 0.0000  4 Tb 3.69, 8 Pm 3.69-3.70
Ac 0.9997 0.5000 0.5003  2 Tb 3.69, 2 La 3.69, 8 Pm 3.72-3.73
La 0.0005 0.0000 0.5000  2 La 3.69, 2 Ac 3.69, 8 Pm 3.74-3.75
La 0.5006 0.0000 0.4998  2 La 3.69, 2 Tb 3.69, 8 Pm 3.70-3.71
Tb 0.0004 0.5000 0.9998  8 Pm 3.67, 2 Tb 3.69, 2 Ac 3.69
Tb 0.4999 0.0000 0.0002  8 Pm 3.65, 2 Ac 3.69, 2 Tb 3.69
Tb 0.5002 0.5000 0.0000  8 Pm 3.62-3.63, 4 Tb 3.69
Tb 0.4999 0.5000 0.5000  8 Pm 3.67-3.68, 2 Ac 3.69, 2 La 3.69
Pm 0.2565 0.2529 0.7536  4 Pm 3.59-3.78, 4 Tb 3.63-3.68, 2 Ac 3.70-3.72, 2 La 3.71-3.74
Pm 0.2565 0.7471 0.7536  4 Pm 3.59-3.78, 4 Tb 3.63-3.68, 2 Ac 3.70-3.72, 2 La 3.71-3.74
Pm 0.2565 0.2538 0.2464  4 Pm 3.60-3.78, 4 Tb 3.63-3.67, 2 Ac 3.70-3.73, 2 La 3.70-3.75
Pm 0.2565 0.7462 0.2464  4 Pm 3.60-3.78, 4 Tb 3.63-3.67, 2 Ac 3.70-3.73, 2 La 3.70-3.75
Pm 0.7438 0.2529 0.7537  4 Pm 3.59-3.78, 4 Tb 3.63-3.68, 2 Ac 3.69-3.73, 2 La 3.70-3.75
Pm 0.7443 0.2536 0.2462  4 Pm 3.60-3.78, 4 Tb 3.62-3.68, 2 Ac 3.70-3.72, 2 La 3.71-3.75
Pm 0.7443 0.7464 0.2462  4 Pm 3.60-3.78, 4 Tb 3.62-3.68, 2 Ac 3.70-3.72, 2 La 3.71-3.75
Pm 0.7438 0.7471 0.7537  4 Pm 3.59-3.78, 4 Tb 3.63-3.68, 2 Ac 3.69-3.73, 2 La 3.70-3.75


Entry 6:
Density functional theory data (GGA-PBE) for a relaxed structure of LiZrFe2.

Computed properties:
Calculated total energy: -0.480 Ry/atom
Total moment: 3.556 μB/cell
Energy of formation: 0.3170 eV/atom

Lattice parameters (Å, degrees): 5.0307 5.0307 2.7424 100.40 100.40 116.29
With the nearest neighbours (Å) after each atom.
Atoms (fractional coordinates):
Li 0.0000 0.0000 0.0000  4 Fe 2.64, 2 Zr 2.66, 2 Li 2.74
Zr 0.5000 0.5000 0.0000  4 Fe 2.64, 2 Li 2.66, 2 Zr 2.74
Fe 0.0000 0.5000 0.5000  2 Zr 2.64, 2 Li 2.64, 4 Fe 2.66-2.74
Fe 0.5000 0.0000 0.5000  2 Zr 2.64, 2 Li 2.64, 4 Fe 2.66-2.74


Entry 7:
Density functional theory data (GGA-PBE) for a relaxed structure of Ba2SrAlSi2.

Computed properties:
Calculated total energy: -0.268 Ry/atom
Total moment: 1.705 μB/cell

Lattice parameters (Å, degrees): 8.8947 8.8947 8.8947 127.45 72.52 133.81
With the nearest neighbours (Å) after each atom.
Atoms (fractional coordinates):
Ba 0.1816 0.1782 0.3598  2 Si 3.27-3.49, 2 Al 3.43
Ba 0.3184 0.6782 0.9966  2 Si 3.27-3.49, 2 Al 3.43
Ba 0.6816 0.3218 0.0034  2 Si 3.27-3.49, 2 Al 3.43
Ba 0.8184 0.8218 0.6402  2 Si 3.27-3.49, 2 Al 3.43
Sr 0.2500 0.7500 0.5000  4 Si 3.19, 2 Sr 3.49
Sr 0.7500 0.2500 0.5000  4 Si 3.19, 2 Sr 3.49
Al 0.2500 0.2500 0.0000  4 Si 2.63
Al 0.7500 0.7500 0.0000  4 Si 2.63
Si 0.0847 0.8024 0.8871  2 Al 2.63
Si 0.4153 0.3024 0.7177  2 Al 2.63
Si 0.5847 0.6976 0.2823  2 Al 2.63
Si 0.9153 0.1976 0.1129  2 Al 2.63


Entry 8:
Density functional theory data (GGA-PBE) for a relaxed structure of KSc2Fe.

Computed properties:
Calculated total energy: -0.398 Ry/atom
Total moment: 0.000 μB/cell
Energy of formation: 0.1454 eV/atom
Energy above the most stable polymorph in this dataset: 0 meV per atom

Lattice parameters (Å, degrees): 3.1814 3.1875 10.0404 90.00 90.17 90.00
With the nearest neighbours (Å) after each atom.
Atoms (fractional coordinates):
K 0.0000 0.0000 0.0000  4 K 3.18-3.19
Sc 0.4985 0.5000 0.3524  4 Fe 2.70, 1 Sc 2.96
Sc 0.5015 0.5000 0.6476  4 Fe 2.70, 1 Sc 2.96
Fe 0.0000 0.0000 0.5000  8 Sc 2.70


Entry 9:
Density functional theory data (GGA-PBE) for a relaxed structure of BaMg2Ru2O7.

Computed properties:
Calculated total energy: -0.490 Ry/atom
Total moment: 4.140 μB/cell

Lattice parameters (Å, degrees): 9.0177 9.0177 9.0177 153.78 153.78 37.42
With the nearest neighbours (Å) after each atom.
Atoms (fractional coordinates):
Ba 0.0000 0.0000 0.0000  12 O 2.89-2.94
Mg 0.2500 0.7500 0.5000  6 O 2.06-2.16
Mg 0.7500 0.2500 0.5000  6 O 2.06-2.16
Ru 0.3848 0.3848 0.0000  6 O 1.97-2.05
Ru 0.6152 0.6152 0.0000  6 O 1.97-2.05
O 0.1236 0.6236 0.5000  2 Ru 2.05, 1 Mg 2.16
O 0.2659 0.2659 0.0000  1 Ru 2.03, 4 Mg 2.06
O 0.3764 0.8764 0.5000  2 Ru 2.05, 1 Mg 2.16
O 0.5000 0.5000 0.0000  2 Ru 1.97
O 0.6236 0.1236 0.5000  2 Ru 2.05, 1 Mg 2.16
O 0.7341 0.7341 0.0000  1 Ru 2.03, 4 Mg 2.06
O 0.8764 0.3764 0.5000  2 Ru 2.05, 1 Mg 2.16


Entry 10:
Density functional theory data (GGA-PBE) for a relaxed structure of GaReNi2.

Computed properties:
Calculated total energy: -0.508 Ry/atom
Total moment: 0.000 μB/cell
Energy of formation: -0.1482 eV/atom

Lattice parameters (Å, degrees): 2.6415 2.6415 7.2437 90.00 90.00 90.00
With the nearest neighbours (Å) after each atom.
Atoms (fractional coordinates):
Ga 0.0000 0.0000 0.0000  8 Ni 2.57, 4 Ga 2.64
Re 0.0000 0.0000 0.5000  8 Ni 2.63, 4 Re 2.64
Ni 0.5000 0.5000 0.2443  4 Ga 2.57, 4 Re 2.63, 4 Ni 2.64
Ni 0.5000 0.5000 0.7557  4 Ga 2.57, 4 Re 2.63, 4 Ni 2.64


Entry 11:
Density functional theory data (GGA-PBE) for a relaxed structure of MnSbOs.

Computed properties:
Calculated total energy: -0.584 Ry/atom
Total moment: 2.787 μB/cell
Energy above the most stable polymorph in this dataset: 0 meV per atom

Lattice parameters (Å, degrees): 4.3122 4.3122 4.3122 60.00 60.00 60.00
With the nearest neighbours (Å) after each atom.
Atoms (fractional coordinates):
Mn 0.0000 0.0000 0.0000  4 Os 2.64
Sb 0.5000 0.5000 0.5000  4 Os 2.64
Os 0.2500 0.2500 0.2500  4 Mn 2.64, 4 Sb 2.64


Entry 12:
Density functional theory data (GGA-PBE) for a relaxed structure of HfNb2Si.

Computed properties:
Calculated total energy: -0.642 Ry/atom
Total moment: 0.000 μB/cell

Lattice parameters (Å, degrees): 6.0236 6.0236 6.0236 101.03 101.03 128.11
With the nearest neighbours (Å) after each atom.
Atoms (fractional coordinates):
Hf 0.0000 0.0000 0.0000  2 Si 2.64
Hf 0.7500 0.2500 0.5000  2 Si 2.64
Nb 0.1738 0.6250 0.0488  2 Si 2.55, 2 Nb 2.74
Nb 0.3750 0.4238 0.5488  2 Si 2.55, 2 Nb 2.74
Nb 0.5762 0.1250 0.9512  2 Si 2.55, 2 Nb 2.74
Nb 0.8750 0.8262 0.4512  2 Si 2.55, 2 Nb 2.74
Si 0.2500 0.7500 0.5000  4 Nb 2.55, 2 Hf 2.64
Si 0.5000 0.5000 0.0000  4 Nb 2.55, 2 Hf 2.64